# PrCoH8Ir2 | Alexandria via LeMat-Bulk | PBE-GGA | optimized geometry
data_PrCoH8Ir2
_space_group_name_H-M_alt 'R -3 m'
_space_group_IT_number 166
_space_group_name_Hall '-R 3 2"'
_cell_length_a 4.6780
_cell_length_b 4.6780
_cell_length_c 15.6753
_cell_angle_alpha 90.00
_cell_angle_beta 90.00
_cell_angle_gamma 120.00
loop_
_atom_site_label
_atom_site_type_symbol
_atom_site_fract_x
_atom_site_fract_y
_atom_site_fract_z
Pr1 Pr 0.0000 0.0000 0.0000
Co1 Co 0.0000 0.0000 0.5000
H1 H 0.0000 0.0000 0.3150
H2 H 0.0597 0.5299 0.0870
Ir1 Ir 0.0000 0.0000 0.2109
# Calculated volume, Å³ per cell: 297
# Raw total energy, eV/atom: -4.86
# Spin magnetization, μB/cell: 2.5
# DOS at the Fermi energy, states/eV/f.u.: 4.918